Record 1
The following is a DFT calculation (GGA-PBEsol) of a geometry-optimized La2TcRh structure.

```
data_La2TcRh
_cell_length_a 8.3926
_cell_length_b 8.3926
_cell_length_c 8.3926
_cell_angle_alpha 24.62
_cell_angle_beta 24.62
_cell_angle_gamma 24.62
_symmetry_space_group_name_H-M 'P 1'
_symmetry_Int_Tables_number 1
loop_
_symmetry_equiv_pos_as_xyz
'x,y,z'
loop_
_atom_site_label
_atom_site_type_symbol
_atom_site_fract_x
_atom_site_fract_y
_atom_site_fract_z
La1 La 0.2481 0.2481 0.2481
La2 La 0.7519 0.7519 0.7519
Tc1 Tc 0.0000 0.0000 0.0000
Rh1 Rh 0.5000 0.5000 0.5000
```

Computed properties:
total moment	0.00	μB/f.u.
offset from the most stable computed form	211	meV/atom
energy relative to the elements	179.7	meV/atom
space group	R-3m (166)
crystal system	trigonal
total DFT energy (no corrections)	-7.345	eV per atom
D(E_F)	3.696	states/eV per cell

***

Record 2
The following is a DFT calculation (GGA-PBEsol) of a geometry-optimized La2TeRh structure.

```
data_La2TeRh
_cell_length_a 7.8957
_cell_length_b 7.8957
_cell_length_c 7.8957
_cell_angle_alpha 30.97
_cell_angle_beta 30.97
_cell_angle_gamma 30.97
_symmetry_space_group_name_H-M 'P 1'
_symmetry_Int_Tables_number 1
loop_
_symmetry_equiv_pos_as_xyz
'x,y,z'
loop_
_atom_site_label
_atom_site_type_symbol
_atom_site_fract_x
_atom_site_fract_y
_atom_site_fract_z
La1 La 0.2370 0.2370 0.2370
La2 La 0.7630 0.7630 0.7630
Te1 Te 0.0000 0.0000 0.0000
Rh1 Rh 0.5000 0.5000 0.5000
```

Computed properties:
total moment	0.00	μB/f.u.
formation energy without anion corrections	-1.0682	eV per atom
offset from the most stable computed form	0	meV/atom
space group	R-3m (166)
crystal system	trigonal
total DFT energy (no corrections)	-6.657	eV per atom
D(E_F)	2.293	states/eV per cell

***

Record 3
The following is a DFT calculation (GGA-PBEsol) of a geometry-optimized LaTeRh2 structure.

```
data_LaTeRh2
_cell_length_a 4.6994
_cell_length_b 4.6994
_cell_length_c 5.4526
_cell_angle_alpha 109.03
_cell_angle_beta 109.03
_cell_angle_gamma 50.87
_symmetry_space_group_name_H-M 'P 1'
_symmetry_Int_Tables_number 1
loop_
_symmetry_equiv_pos_as_xyz
'x,y,z'
loop_
_atom_site_label
_atom_site_type_symbol
_atom_site_fract_x
_atom_site_fract_y
_atom_site_fract_z
La1 La 0.0000 0.0000 0.0000
Te1 Te 0.2112 0.2112 0.6040
Rh1 Rh 0.4779 0.4779 0.4022
Rh2 Rh 0.7800 0.7800 0.3494
```

Computed properties:
total moment	0.00	μB/f.u.
formation energy without anion corrections	-0.6025	eV per atom
space group	Cm (8)
crystal system	monoclinic
total DFT energy (no corrections)	-6.890	eV per atom
D(E_F)	2.099	states/eV per cell

***

Record 4
The following is a DFT calculation (GGA-PBEsol) of a geometry-optimized La2TeRh structure.

```
data_La2TeRh
_cell_length_a 6.3131
_cell_length_b 6.3131
_cell_length_c 6.3131
_cell_angle_alpha 144.18
_cell_angle_beta 136.62
_cell_angle_gamma 57.47
_symmetry_space_group_name_H-M 'P 1'
_symmetry_Int_Tables_number 1
loop_
_symmetry_equiv_pos_as_xyz
'x,y,z'
loop_
_atom_site_label
_atom_site_type_symbol
_atom_site_fract_x
_atom_site_fract_y
_atom_site_fract_z
La1 La 0.0000 0.0000 0.0000
La2 La 0.7144 0.2144 0.5000
Te1 Te 0.4216 0.4216 0.0000
Rh1 Rh 0.2260 0.7260 0.5000
```

Computed properties:
total moment	0.00	μB/f.u.
formation energy without anion corrections	-0.8854	eV per atom
offset from the most stable computed form	183	meV/atom
space group	Imm2 (44)
crystal system	orthorhombic
total DFT energy (no corrections)	-6.475	eV per atom
D(E_F)	2.616	states/eV per cell